<A>
NbV3F: relaxed, PBE+U.

The space group is Pm-3m (No. 221) and the conventional cell measures 4.3454, 4.3454 and 4.3454 Å, with angles of 90.00, 90.00 and 90.00 degrees. The asymmetric unit holds Nb at (0.0000, 0.0000, 0.0000), V at (0.0000, 0.5000, 0.5000) and F at (0.5000, 0.5000, 0.5000).


<B>
NbV3F: relaxed, PBE+U.

The space group is Pm-3m (No. 221) and the conventional cell measures 4.9235, 4.9235 and 4.9235 Å, with angles of 90.00, 90.00 and 90.00 degrees. The asymmetric unit holds Nb at (0.0000, 0.0000, 0.0000), V at (0.0000, 0.0000, 0.5000) and F at (0.5000, 0.5000, 0.5000).


If you had to name the least stable structure above, which would it be? It would be <B>.